Entry 1:
{
  "formula": "Ru4Pt2Rh5",
  "functional": "PBE-GGA",
  "state": "optimized geometry",
  "lattice": [[5.345, -0.002, -0.001], [-2.672, 7.305, -4.268], [0.001, -2.950, 6.047]],
  "species": ["Ru", "Ru", "Ru", "Ru", "Pt", "Pt", "Rh", "Rh", "Rh", "Rh", "Rh"],
  "frac_coords": [[0.612, 0.224, 0.378], [0.388, 0.776, 0.622], [0.765, 0.531, 0.027], [0.235, 0.469, 0.973], [0.896, 0.791, 0.633], [0.104, 0.209, 0.367], [0.609, 0.722, 0.918], [0.391, 0.278, 0.082], [0.500, 0.000, 0.500], [0.113, 0.722, 0.918], [0.887, 0.278, 0.082]],
  "formation_enthalpy_0k_mev_per_atom": 317,
  "m_tot_mub_per_fu": 0.0,
  "dos_at_fermi_per_ev_atom": 1.403,
  "e_above_lowest_polymorph_mev_per_atom": 30.3
}

Entry 2:
{
  "formula": "U2InSe4",
  "functional": "PBE-GGA",
  "state": "optimized geometry",
  "lattice": [[-7.923, 0.943, -2.798], [-4.222, -6.750, -3.095], [-6.490, -3.246, 4.508]],
  "species": ["U", "U", "U", "U", "In", "In", "Se", "Se", "Se", "Se", "Se", "Se", "Se", "Se"],
  "frac_coords": [[0.000, 0.000, 0.000], [0.000, 0.000, 0.500], [0.000, 0.500, 0.500], [0.500, 0.000, 0.500], [0.500, 0.500, 0.000], [0.000, 0.500, 0.000], [0.240, 0.234, 0.286], [0.760, 0.214, 0.266], [0.240, 0.786, 0.734], [0.760, 0.766, 0.714], [0.761, 0.763, 0.263], [0.787, 0.237, 0.737], [0.213, 0.763, 0.263], [0.239, 0.237, 0.737]],
  "raw_formation_energy_ev_per_atom": -0.93,
  "m_tot_mub_per_fu": 5.0,
  "dos_at_fermi_per_ev_atom": 1.802,
  "e_above_lowest_polymorph_mev_per_atom": 0.0
}

Entry 3:
{
  "formula": "Ac12In6Pd",
  "functional": "PBE-GGA",
  "state": "optimized geometry",
  "lattice": [[-6.148, -1.811, -6.485], [6.640, -4.475, -4.361], [-2.340, -7.297, 4.941]],
  "species": ["Ac", "Ac", "Ac", "Ac", "Ac", "Ac", "Ac", "Ac", "Ac", "Ac", "Ac", "Ac", "In", "In", "In", "In", "In", "In", "Pd"],
  "frac_coords": [[0.805, 0.572, 0.452], [0.452, 0.805, 0.572], [0.572, 0.452, 0.805], [0.195, 0.428, 0.548], [0.548, 0.195, 0.428], [0.428, 0.548, 0.195], [0.959, 0.088, 0.318], [0.912, 0.682, 0.041], [0.682, 0.041, 0.912], [0.041, 0.912, 0.682], [0.088, 0.318, 0.959], [0.318, 0.959, 0.088], [0.652, 0.859, 0.261], [0.739, 0.348, 0.141], [0.141, 0.739, 0.348], [0.348, 0.141, 0.739], [0.261, 0.652, 0.859], [0.859, 0.261, 0.652], [0.000, 0.000, 0.000]],
  "formation_enthalpy_0k_mev_per_atom": -249,
  "m_tot_mub_per_fu": 0.0,
  "dos_at_fermi_per_ev_atom": 1.148
}

Entry 4:
{
  "formula": "InCuPb3",
  "functional": "PBE-GGA",
  "state": "optimized geometry",
  "lattice": [[5.322, 0.000, 0.000], [0.000, 5.322, 0.000], [0.000, 0.000, 5.322]],
  "species": ["Pb", "Pb", "Pb", "Cu", "In"],
  "frac_coords": [[0.000, 0.500, 0.000], [0.000, 0.000, 0.500], [0.500, 0.000, 0.000], [0.000, 0.000, 0.000], [0.500, 0.500, 0.500]],
  "formation_enthalpy_0k_mev_per_atom": 239,
  "m_tot_mub_per_fu": 0.0,
  "dos_at_fermi_per_ev_atom": 0.372,
  "e_above_lowest_polymorph_mev_per_atom": 0.0
}

Entry 5:
{
  "formula": "MgSc5Ir6",
  "functional": "PBE-GGA",
  "state": "optimized geometry",
  "lattice": [[4.381, 0.019, -1.279], [-0.873, 5.589, -2.910], [-0.085, 0.460, 7.861]],
  "species": ["Sc", "Sc", "Sc", "Sc", "Sc", "Mg", "Ir", "Ir", "Ir", "Ir", "Ir", "Ir"],
  "frac_coords": [[0.663, 0.163, 0.326], [0.333, 0.333, 0.666], [0.000, 0.500, 0.000], [0.667, 0.667, 0.334], [0.337, 0.837, 0.674], [0.000, 0.000, 0.000], [0.833, 0.582, 0.665], [0.833, 0.084, 0.665], [0.500, 0.748, 0.000], [0.500, 0.252, 0.000], [0.167, 0.916, 0.335], [0.167, 0.418, 0.335]],
  "formation_enthalpy_0k_mev_per_atom": -932,
  "m_tot_mub_per_fu": 0.0,
  "dos_at_fermi_per_ev_atom": 0.321
}

Entry 6:
{
  "formula": "SmPRu2C",
  "functional": "PBE-GGA",
  "state": "optimized geometry",
  "lattice": [[-3.140, 4.517, 1.960], [0.838, -3.238, -4.787], [-5.115, -4.484, 2.138]],
  "species": ["Sm", "Sm", "P", "P", "Ru", "Ru", "Ru", "Ru", "C", "C"],
  "frac_coords": [[0.954, 0.046, 0.250], [0.046, 0.954, 0.750], [0.230, 0.770, 0.250], [0.770, 0.230, 0.750], [0.334, 0.666, 0.946], [0.666, 0.334, 0.054], [0.334, 0.666, 0.554], [0.666, 0.334, 0.446], [0.500, 0.500, 0.500], [0.500, 0.500, 0.000]],
  "formation_enthalpy_0k_mev_per_atom": -661,
  "m_tot_mub_per_fu": 0.0,
  "dos_at_fermi_per_ev_atom": 0.432
}